Entry 1:
VASP calculation (PBE) on an optimized crystal structure of SmTm12Th5.

Structure (extended XYZ):
```
18
Lattice="-14.3620 -1.0520 -3.6350 -7.7168 -6.8931 2.1420 -1.2259 2.6404 4.0800" Properties=species:S:1:pos:R:3 pbc="T T T"
Sm -0.0001 0.0000 0.0000
Tm -12.5856 0.4434 -0.9899
Tm -3.0023 1.1450 1.4349
Tm -9.5372 -0.6985 -2.4138
Tm -6.0508 2.2869 2.8588
Tm -11.1230 -2.2949 4.2990
Tm -5.1779 -4.5888 1.4146
Tm -18.1268 -0.7159 1.1724
Tm -12.1818 -3.0098 -1.7119
Tm -10.3254 -1.5006 0.9475
Tm -17.6849 -4.1482 0.4494
Tm -5.6199 -1.1565 2.1377
Tm -12.9794 -3.8041 1.6395
Th -7.7940 0.7942 0.2225
Th -8.1500 -3.4363 2.8533
Th -15.1548 -1.8684 -0.2662
Th -15.9448 -2.6522 3.0821
Th -7.3600 -2.6525 -0.4951
```

Output
N(E_F) = 26.52 states/eV/cell
ΔE_f = 27 meV per atom
Total moment = 0.00 μB/f.u.

---

Entry 2:
VASP calculation (PBE) on an optimized crystal structure of Sm2Tm4Th.

Structure (extended XYZ):
```
7
Lattice="3.5802 0.0000 0.0000 -1.7901 3.0890 -0.2614 0.0000 -0.3773 20.0715" Properties=species:S:1:pos:R:3 pbc="T T T"
Sm 1.7901 0.7036 1.8209
Sm 1.7901 1.1809 7.5298
Tm 1.7901 2.1400 18.8585
Tm 0.0000 2.4498 10.3106
Tm 0.0000 -0.0846 4.7750
Tm 1.7901 -0.1566 16.2852
Th 1.7901 1.6588 13.2574
```

Output
N(E_F) = 11.62 states/eV/cell
Polymorph energy (0 for the lowest one) = 0 meV per atom
ΔE_f = 23 meV per atom
Total moment = 0.00 μB/f.u.

---

Entry 3:
VASP calculation (PBE) on an optimized crystal structure of SmTmTh2.

Structure (extended XYZ):
```
4
Lattice="3.5553 0.0000 0.0000 0.0000 3.5553 0.0000 0.0000 0.0000 10.1667" Properties=species:S:1:pos:R:3 pbc="T T T"
Tm 1.7777 1.7777 0.0000
Sm 1.7777 1.7777 5.0833
Th 0.0000 0.0000 7.6736
Th 0.0000 0.0000 2.4931
```

Output
N(E_F) = 6.35 states/eV/cell
Polymorph energy (0 for the lowest one) = 30 meV per atom
ΔE_f = 60 meV per atom
Total moment = 0.00 μB/f.u.

---

Entry 4:
VASP calculation (PBE) on an optimized crystal structure of Sm3Tm8Th4.

Structure (extended XYZ):
```
15
Lattice="-3.6406 -5.2751 1.9393 8.9536 -1.3272 1.7751 -0.0641 6.6091 6.4339" Properties=species:S:1:pos:R:3 pbc="T T T"
Sm 2.6565 -3.3012 1.8572
Sm -1.8523 0.6670 4.1866
Sm 2.6245 0.0034 5.0741
Tm 0.4339 -1.3457 3.1321
Tm 5.7214 1.5174 3.4450
Tm -1.2946 -3.8760 4.0967
Tm 4.8299 -1.9376 3.9347
Tm 0.4190 1.9443 6.2136
Tm 6.5436 3.8827 6.0516
Tm 3.1682 3.7645 4.7640
Tm 4.8150 1.3524 7.0162
Th -1.8203 -2.6376 0.9696
Th 4.4768 -0.6636 0.8875
Th 0.0000 0.0000 0.0000
Th -0.0320 3.3045 3.2170
```

Output
N(E_F) = 27.40 states/eV/cell
ΔE_f = 425 meV per atom
Total moment = 0.00 μB/f.u.

---

Entry 5:
VASP calculation (PBE) on an optimized crystal structure of Sm14TmTh.

Structure (extended XYZ):
```
16
Lattice="7.1654 0.9624 0.0000 -0.9603 7.1657 0.0000 0.0000 0.0000 10.2460" Properties=species:S:1:pos:R:3 pbc="T T T"
Sm 2.0863 4.8399 5.1230
Sm 6.1496 1.7379 5.1230
Sm 5.6689 5.3203 0.0000
Sm 5.6694 5.3211 5.1230
Sm 2.5672 1.2574 0.0000
Sm 2.5666 1.2567 5.1230
Sm 3.6486 6.8847 7.7154
Sm 3.6486 6.8847 2.5306
Sm 0.5256 2.7938 7.7154
Sm 0.5256 2.7938 2.5306
Sm 0.0418 6.4007 7.7169
Sm 0.0418 6.4007 2.5290
Sm 4.1322 3.2780 7.7152
Sm 4.1322 3.2780 2.5307
Tm 2.0862 4.8400 0.0000
Th 6.1501 1.7376 0.0000
```

Output
N(E_F) = 21.36 states/eV/cell
ΔE_f = 21 meV per atom
Total moment = 0.00 μB/f.u.

---

Entry 6:
VASP calculation (PBE) on an optimized crystal structure of Sm2Tm2Th15.

Structure (extended XYZ):
```
19
Lattice="6.6208 -5.7147 -0.3107 6.6208 5.7147 -0.3107 2.1015 0.0000 8.4955" Properties=species:S:1:pos:R:3 pbc="T T T"
Sm 10.4447 0.0000 5.3602
Sm 4.8984 0.0000 2.5139
Tm 13.8382 0.0000 7.1018
Tm 1.5049 0.0000 0.7723
Th 3.3104 -2.8574 -0.1554
Th 1.0507 0.0000 4.2478
Th 3.3104 2.8574 -0.1554
Th 3.4434 1.6969 5.8806
Th 6.6208 2.3209 -0.3107
Th 5.2789 -4.0178 2.3042
Th 6.6208 -2.3209 -0.3107
Th 3.4434 -1.6969 5.8806
Th 5.2789 4.0178 2.3042
Th 8.6849 -2.7749 2.6564
Th 6.4905 0.0000 6.9324
Th 8.6849 2.7749 2.6564
Th 6.6582 2.7749 5.2177
Th 8.8527 0.0000 0.9417
Th 6.6582 -2.7749 5.2177
```

Output
N(E_F) = 38.85 states/eV/cell
ΔE_f = 279 meV per atom
Total moment = 0.00 μB/f.u.

---

Entry 7:
VASP calculation (PBE) on an optimized crystal structure of Sm5Tm6Th.

Structure (extended XYZ):
```
12
Lattice="-4.2120 -1.6354 -2.2793 4.5633 -8.4838 -2.3545 -2.5180 1.9861 8.8547" Properties=species:S:1:pos:R:3 pbc="T T T"
Tm -2.5233 -5.0139 2.6430
Tm -4.8245 -0.7362 3.8303
Tm -1.1817 -5.2310 5.9391
Tm -0.9851 -2.9021 -1.7181
Tm 2.6577 -7.3969 0.3907
Tm 0.3565 -3.1192 1.5780
Th 0.0000 0.0000 0.0000
Sm -2.8812 -1.8346 1.0241
Sm -1.5674 -2.0562 4.3734
Sm 2.2816 -4.2419 -1.1772
Sm -0.5994 -6.0769 -0.1524
Sm 0.7144 -6.2985 3.1969
```

Output
N(E_F) = 17.08 states/eV/cell
ΔE_f = 25 meV per atom
Total moment = 0.00 μB/f.u.

---

Entry 8:
VASP calculation (PBE) on an optimized crystal structure of Sm11Tm9Th4.

Structure (extended XYZ):
```
24
Lattice="3.6923 0.0000 0.0000 0.0000 14.0279 -5.9634 0.0000 0.0291 15.2428" Properties=species:S:1:pos:R:3 pbc="T T T"
Sm 0.0000 8.3421 11.0186
Sm 0.0000 5.7149 -1.7392
Sm 0.0000 13.4105 3.3408
Sm 0.0000 0.6465 5.9386
Sm 0.0000 8.9011 1.8029
Sm 0.0000 5.1559 7.4765
Sm 0.0000 11.8066 -2.5984
Sm 0.0000 2.2504 11.8778
Sm 0.0000 0.0000 0.0000
Sm 0.0000 9.9837 6.5905
Sm 0.0000 4.0733 2.6889
Tm 1.8462 8.9066 -1.2999
Tm 1.8462 5.1504 10.5793
Tm 1.8462 2.3048 8.7009
Tm 1.8462 11.7522 0.5785
Tm 1.8462 11.0944 9.5351
Tm 1.8462 2.9626 -0.2557
Tm 1.8462 13.1279 6.4546
Tm 1.8462 0.9291 2.8248
Tm 1.8462 7.0285 4.6397
Th 1.8462 7.8033 8.2427
Th 1.8462 6.2537 1.0367
Th 1.8462 10.6461 3.9362
Th 1.8462 3.4109 5.3432
```

Output
N(E_F) = 34.54 states/eV/cell
ΔE_f = 116 meV per atom
Total moment = 0.00 μB/f.u.